{"formula": "PaCrNi2O6", "functional": "PBE+U", "state": "optimized geometry", "lattice": [[2.646, 1.528, 4.794], [-2.646, 1.528, 4.794], [0.000, -3.055, 4.794]], "species": ["Pa", "Cr", "Ni", "Ni", "O", "O", "O", "O", "O", "O"], "fractional_positions": [[0.000, 0.000, 0.000], [0.494, 0.494, 0.494], [0.295, 0.295, 0.295], [0.798, 0.798, 0.798], [0.103, 0.416, 0.688], [0.216, 0.888, 0.590], [0.416, 0.688, 0.103], [0.590, 0.216, 0.888], [0.688, 0.103, 0.416], [0.888, 0.590, 0.216]], "e_tot_ev_per_atom": -7.313}